A relaxed structure of CuAsSe2N, computed with PBE.

ΔE to the lowest computed polymorph = 94 meV/atom
Density of states at the Fermi level = 4.7 states/eV/cell
ΔE_f (raw) = 4.9 eV/f.u.

The structure in POSCAR format:
```
CuAsSe2N
1.0
-5.137 0.095 -0.534
-0.478 -3.189 4.036
-0.175 2.784 2.179
As Cu Se N
1 1 2 1
Cartesian
0.000 0.000 0.000
-2.895 -0.155 2.840
-0.239 -1.594 2.018
-2.569 0.048 -0.267
-0.087 1.392 1.090
```

A relaxed structure of CuAsSeN2, computed with PBE.

ΔE to the lowest computed polymorph = 286 meV/atom
Density of states at the Fermi level = 2.1 states/eV/cell
ΔE_f (raw) = 7.6 eV/f.u.

The structure in POSCAR format:
```
CuAsSeN2
1.0
3.803 0.000 0.000
0.000 3.803 0.000
0.000 0.000 5.547
As Cu Se N
1 1 1 2
Cartesian
1.901 1.901 2.774
0.000 0.000 0.000
0.000 0.000 2.774
0.000 1.901 0.000
1.901 0.000 0.000
```